Entry 1:
Entry from Alexandria: a geometry-optimized Rb2NaTl2 structure (GGA-PBEsol).

Values from the calculation:
* E_tot: -1.74 eV per atom

The structure in CIF format:
```
data_Rb2NaTl2
_space_group_name_H-M_alt 'P 4/m b m'
_space_group_IT_number 127
_space_group_name_Hall '-P 4 2ab'
_cell_length_a 8.282
_cell_length_b 8.282
_cell_length_c 6.091
_cell_angle_alpha 90.00
_cell_angle_beta 90.00
_cell_angle_gamma 90.00
loop_
_atom_site_label
_atom_site_type_symbol
_atom_site_fract_x
_atom_site_fract_y
_atom_site_fract_z
Rb1 Rb 0.179 0.321 0.000
Na1 Na 0.000 0.000 0.500
Tl1 Tl 0.125 0.625 0.500
```


Entry 2:
Entry from Alexandria: a geometry-optimized RbNa2Tl2 structure (GGA-PBEsol).

Values from the calculation:
* offset from the most stable computed form: 0.0 kJ/mol of atoms

The structure in CIF format:
```
data_RbNa2Tl2
_space_group_name_H-M_alt 'P 4/m b m'
_space_group_IT_number 127
_space_group_name_Hall '-P 4 2ab'
_cell_length_a 9.580
_cell_length_b 9.580
_cell_length_c 3.533
_cell_angle_alpha 90.00
_cell_angle_beta 90.00
_cell_angle_gamma 90.00
loop_
_atom_site_label
_atom_site_type_symbol
_atom_site_fract_x
_atom_site_fract_y
_atom_site_fract_z
Rb1 Rb 0.000 0.000 0.000
Na1 Na 0.174 0.326 0.500
Tl1 Tl 0.115 0.615 0.000
```


Entry 3:
Entry from Alexandria: a geometry-optimized RbNa2Tl structure (GGA-PBEsol).

Values from the calculation:
* offset from the most stable computed form: 8.0 kJ/mol of atoms

The structure in CIF format:
```
data_RbNa2Tl
_space_group_name_H-M_alt 'I -4 2 d'
_space_group_IT_number 122
_space_group_name_Hall 'I -4 2bw'
_cell_length_a 5.193
_cell_length_b 5.193
_cell_length_c 23.913
_cell_angle_alpha 90.00
_cell_angle_beta 90.00
_cell_angle_gamma 90.00
loop_
_atom_site_label
_atom_site_type_symbol
_atom_site_fract_x
_atom_site_fract_y
_atom_site_fract_z
Rb1 Rb 0.000 0.000 0.000
Na1 Na 0.192 0.250 0.625
Tl1 Tl 0.000 0.000 0.500
```


Entry 4:
Entry from Alexandria: a geometry-optimized RbNaTl2 structure (GGA-PBEsol).

Values from the calculation:
* E_tot: -1.87 eV per atom

The structure in CIF format:
```
data_RbNaTl2
_space_group_name_H-M_alt 'F m -3 m'
_space_group_IT_number 225
_space_group_name_Hall '-F 4 2 3'
_cell_length_a 8.087
_cell_length_b 8.087
_cell_length_c 8.087
_cell_angle_alpha 90.00
_cell_angle_beta 90.00
_cell_angle_gamma 90.00
loop_
_atom_site_label
_atom_site_type_symbol
_atom_site_fract_x
_atom_site_fract_y
_atom_site_fract_z
Rb1 Rb 0.000 0.000 0.000
Na1 Na 0.000 0.000 0.500
Tl1 Tl 0.250 0.250 0.250
```


Entry 5:
Entry from Alexandria: a geometry-optimized RbNaW3 structure (GGA-PBEsol).

Values from the calculation:
* E_tot: -4.87 eV per atom

The structure in CIF format:
```
data_RbNaW3
_space_group_name_H-M_alt 'P m -3 m'
_space_group_IT_number 221
_space_group_name_Hall '-P 4 2 3'
_cell_length_a 4.726
_cell_length_b 4.726
_cell_length_c 4.726
_cell_angle_alpha 90.00
_cell_angle_beta 90.00
_cell_angle_gamma 90.00
loop_
_atom_site_label
_atom_site_type_symbol
_atom_site_fract_x
_atom_site_fract_y
_atom_site_fract_z
Rb1 Rb 0.000 0.000 0.000
Na1 Na 0.500 0.500 0.500
W1 W 0.000 0.000 0.500
```


Entry 6:
Entry from Alexandria: a geometry-optimized RbNaY3 structure (GGA-PBEsol).

Values from the calculation:
* E_tot: -3.62 eV per atom

The structure in CIF format:
```
data_RbNaY3
_space_group_name_H-M_alt 'P m -3 m'
_space_group_IT_number 221
_space_group_name_Hall '-P 4 2 3'
_cell_length_a 5.826
_cell_length_b 5.826
_cell_length_c 5.826
_cell_angle_alpha 90.00
_cell_angle_beta 90.00
_cell_angle_gamma 90.00
loop_
_atom_site_label
_atom_site_type_symbol
_atom_site_fract_x
_atom_site_fract_y
_atom_site_fract_z
Rb1 Rb 0.000 0.000 0.000
Na1 Na 0.500 0.500 0.500
Y1 Y 0.000 0.500 0.500
```


Entry 7:
Entry from Alexandria: a geometry-optimized RbNaY2 structure (GGA-PBEsol).

Values from the calculation:
* E_tot: -3.26 eV per atom

The structure in CIF format:
```
data_RbNaY2
_space_group_name_H-M_alt 'F m -3 m'
_space_group_IT_number 225
_space_group_name_Hall '-F 4 2 3'
_cell_length_a 8.339
_cell_length_b 8.339
_cell_length_c 8.339
_cell_angle_alpha 90.00
_cell_angle_beta 90.00
_cell_angle_gamma 90.00
loop_
_atom_site_label
_atom_site_type_symbol
_atom_site_fract_x
_atom_site_fract_y
_atom_site_fract_z
Rb1 Rb 0.000 0.000 0.000
Na1 Na 0.000 0.000 0.500
Y1 Y 0.250 0.250 0.250
```


Entry 8:
Entry from Alexandria: a geometry-optimized Rb3NaZr structure (GGA-PBEsol).

Values from the calculation:
* E_tot: -1.58 eV per atom

The structure in CIF format:
```
data_Rb3NaZr
_space_group_name_H-M_alt 'P m -3 m'
_space_group_IT_number 221
_space_group_name_Hall '-P 4 2 3'
_cell_length_a 6.742
_cell_length_b 6.742
_cell_length_c 6.742
_cell_angle_alpha 90.00
_cell_angle_beta 90.00
_cell_angle_gamma 90.00
loop_
_atom_site_label
_atom_site_type_symbol
_atom_site_fract_x
_atom_site_fract_y
_atom_site_fract_z
Rb1 Rb 0.000 0.000 0.500
Na1 Na 0.000 0.000 0.000
Zr1 Zr 0.500 0.500 0.500
```